1.
{
  "formula": "TmMnVSi2",
  "functional": "PBE-GGA",
  "state": "optimized geometry",
  "sg": "I-4m2",
  "n_ef_per_ev_cell": 2.63,
  "cell": [[-1.925, 1.925, 5.352], [1.925, -1.925, 5.352], [1.925, 1.925, -5.352]],
  "species": ["Tm", "Mn", "V", "Si", "Si"],
  "fractional_positions": [[0.000, 0.000, 0.000], [0.250, 0.750, 0.500], [0.750, 0.250, 0.500], [0.388, 0.388, 0.000], [0.612, 0.612, 0.000]]
}

---

2.
{
  "formula": "TmMnSi2W",
  "functional": "PBE-GGA",
  "state": "optimized geometry",
  "sg": "I-4m2",
  "n_ef_per_ev_cell": 3.31,
  "cell": [[-1.954, 1.954, 5.444], [1.954, -1.954, 5.444], [1.954, 1.954, -5.444]],
  "species": ["Tm", "Mn", "Si", "Si", "W"],
  "fractional_positions": [[0.000, 0.000, 0.000], [0.750, 0.250, 0.500], [0.390, 0.390, 0.000], [0.610, 0.610, 0.000], [0.250, 0.750, 0.500]]
}

---

It is found that the formation energy from raw total energies values, taken in the order of the records, are -0.59 -0.46 eV/atom.